Here is an optimized crystal structure of Al2ZnW from the Alexandria database. Energies are from PBEsol.

The structure in POSCAR format:
```
Al2ZnW
1.0
-1.847 1.847 4.223
1.847 -1.847 4.223
1.847 1.847 -4.223
Al Zn W
2 1 1
Cartesian
0.000 0.000 0.000
0.000 1.847 2.112
0.000 0.000 4.223
1.847 0.000 2.112
```

Computed properties:
* total magnetic moment: 0.000 μB/cell
* formation energy: -0.091 eV per atom
* calculated total energy: -5.984 eV/atom

Here is an optimized crystal structure of AlZn4W from the Alexandria database. Energies are from PBEsol.

The structure in POSCAR format:
```
AlZn4W
1.0
0.000 3.475 3.475
3.475 0.000 3.475
3.475 3.475 0.000
Al Zn W
1 4 1
Cartesian
0.000 0.000 0.000
4.336 2.613 2.613
2.613 4.336 2.613
2.613 2.613 4.336
4.336 4.336 4.336
1.737 1.737 1.737
```

Computed properties:
* total magnetic moment: 0.812 μB/cell
* formation energy: 0.297 eV per atom
* calculated total energy: -3.741 eV/atom

Here is an optimized crystal structure of AlZn2W from the Alexandria database. Energies are from PBEsol.

The structure in POSCAR format:
```
AlZn2W
1.0
2.264 -1.516 0.000
2.264 1.516 0.000
-1.939 0.000 8.688
Al Zn W
1 2 1
Cartesian
0.000 0.000 0.000
-0.440 0.000 6.531
3.030 0.000 2.157
1.295 0.000 4.344
```

Computed properties:
* total magnetic moment: 0.000 μB/cell
* formation energy: 0.168 eV per atom
* calculated total energy: -5.098 eV/atom

Here is an optimized crystal structure of Al2ZnW from the Alexandria database. Energies are from PBEsol.

The structure in POSCAR format:
```
Al2ZnW
1.0
2.677 0.000 0.000
0.000 4.384 0.000
-0.465 0.000 5.076
Al Zn W
2 1 1
Cartesian
0.207 0.000 1.257
2.005 0.000 3.819
-0.233 2.192 2.538
1.339 2.192 0.000
```

Computed properties:
* total magnetic moment: 0.000 μB/cell
* formation energy: 0.052 eV per atom
* calculated total energy: -5.841 eV/atom

Here is an optimized crystal structure of ZrAlW2 from the Alexandria database. Energies are from PBEsol.

The structure in POSCAR format:
```
ZrAlW2
1.0
3.222 0.000 0.000
0.000 3.222 0.000
0.000 0.000 6.555
Zr Al W
1 1 2
Cartesian
0.000 0.000 0.000
1.611 1.611 1.886
0.000 0.000 3.361
1.611 1.611 4.774
```

Computed properties:
* total magnetic moment: 0.000 μB/cell
* formation energy: -0.049 eV per atom
* calculated total energy: -10.248 eV/atom

Here is an optimized crystal structure of ZrAlW2 from the Alexandria database. Energies are from PBEsol.

The structure in POSCAR format:
```
ZrAlW2
1.0
1.622 -2.288 0.000
1.622 2.288 0.000
0.000 0.000 9.074
Zr Al W
1 1 2
Cartesian
0.000 0.000 0.000
1.622 0.000 2.458
0.000 0.000 4.582
1.622 0.000 6.704
```

Computed properties:
* total magnetic moment: 0.000 μB/cell
* formation energy: 0.013 eV per atom
* calculated total energy: -10.186 eV/atom

Here is an optimized crystal structure of ZrAlW4 from the Alexandria database. Energies are from PBEsol.

The structure in POSCAR format:
```
ZrAlW4
1.0
0.000 3.736 3.736
3.736 0.000 3.736
3.736 3.736 0.000
Zr Al W
1 1 4
Cartesian
0.000 0.000 0.000
1.868 1.868 1.868
4.666 2.806 2.806
2.806 4.666 2.806
2.806 2.806 4.666
4.666 4.666 4.666
```

Computed properties:
* total magnetic moment: 0.000 μB/cell
* formation energy: 0.126 eV per atom
* calculated total energy: -11.276 eV/atom

Here is an optimized crystal structure of Y5Al from the Alexandria database. Energies are from PBEsol.

The structure in POSCAR format:
```
Y5Al
1.0
5.400 0.000 0.000
0.000 1.760 8.838
0.000 -1.760 8.838
Y Al
5 1
Cartesian
0.000 0.000 0.000
0.000 0.000 5.660
2.700 0.000 2.072
2.700 0.000 7.796
2.700 0.000 13.648
0.000 0.000 11.756
```

Computed properties:
* total magnetic moment: 0.000 μB/cell
* formation energy: -0.070 eV per atom
* calculated total energy: -6.437 eV/atom

Here is an optimized crystal structure of YAl8 from the Alexandria database. Energies are from PBEsol.

The structure in POSCAR format:
```
YAl8
1.0
-4.422 4.422 2.043
4.422 -4.422 2.043
4.422 4.422 -2.043
Y Al
1 8
Cartesian
0.000 0.000 0.000
3.030 0.000 0.000
5.815 0.000 0.000
2.859 2.859 0.000
1.563 -1.563 2.043
0.000 3.030 0.000
0.000 5.815 0.000
-1.563 1.563 2.043
1.563 1.563 2.043
```

Computed properties:
* total magnetic moment: 0.000 μB/cell
* formation energy: -0.103 eV per atom
* calculated total energy: -4.498 eV/atom

Here is an optimized crystal structure of Y3Al from the Alexandria database. Energies are from PBEsol.

The structure in POSCAR format:
```
Y3Al
1.0
8.201 0.000 0.000
0.000 9.253 0.000
0.000 0.000 6.014
Y Al
12 4
Cartesian
0.247 2.313 0.619
1.441 0.540 3.767
1.441 4.087 3.767
2.660 5.166 0.760
2.660 8.713 0.760
3.854 6.940 3.626
4.347 2.313 2.389
5.542 0.540 5.255
5.542 4.087 5.255
6.760 5.166 2.248
6.760 8.713 2.248
7.955 6.940 5.396
1.022 6.940 2.595
3.078 2.313 5.603
5.123 6.940 0.412
7.179 2.313 3.419
```

Computed properties:
* total magnetic moment: 0.000 μB/cell
* formation energy: -0.130 eV per atom
* calculated total energy: -6.270 eV/atom

Here is an optimized crystal structure of Y3Al from the Alexandria database. Energies are from PBEsol.

The structure in POSCAR format:
```
Y3Al
1.0
0.000 3.739 3.739
3.739 0.000 3.739
3.739 3.739 0.000
Y Al
3 1
Cartesian
0.000 0.000 0.000
1.870 1.870 1.870
5.609 5.609 5.609
3.739 3.739 3.739
```

Computed properties:
* total magnetic moment: 0.327 μB/cell
* formation energy: -0.063 eV per atom
* calculated total energy: -6.202 eV/atom

Here is an optimized crystal structure of Y3Al from the Alexandria database. Energies are from PBEsol.

The structure in POSCAR format:
```
Y3Al
1.0
5.276 0.000 0.000
0.000 6.590 0.000
0.000 0.000 5.995
Y Al
6 2
Cartesian
1.319 0.035 0.962
1.319 1.647 3.754
1.319 3.260 0.962
3.957 3.329 5.033
3.957 4.942 2.241
3.957 6.555 5.033
1.319 4.942 3.999
3.957 1.647 1.996
```

Computed properties:
* total magnetic moment: 0.000 μB/cell
* formation energy: -0.191 eV per atom
* calculated total energy: -6.331 eV/atom

Here is an optimized crystal structure of Y3Al from the Alexandria database. Energies are from PBEsol.

The structure in POSCAR format:
```
Y3Al
1.0
-2.316 2.316 4.849
2.316 -2.316 4.849
2.316 2.316 -4.849
Y Al
3 1
Cartesian
0.000 0.000 0.000
2.316 0.000 2.425
0.000 2.316 2.425
0.000 0.000 4.849
```

Computed properties:
* total magnetic moment: 0.002 μB/cell
* formation energy: -0.165 eV per atom
* calculated total energy: -6.304 eV/atom

Here is an optimized crystal structure of Y5Al from the Alexandria database. Energies are from PBEsol.

The structure in POSCAR format:
```
Y5Al
1.0
3.497 0.000 0.000
0.000 3.497 0.000
0.000 0.000 13.839
Y Al
5 1
Cartesian
0.000 0.000 0.000
0.000 0.000 5.036
0.000 0.000 8.802
1.748 1.748 2.480
1.748 1.748 11.359
1.748 1.748 6.919
```

Computed properties:
* total magnetic moment: 0.001 μB/cell
* formation energy: -0.127 eV per atom
* calculated total energy: -6.494 eV/atom

Here is an optimized crystal structure of Y5Al from the Alexandria database. Energies are from PBEsol.

The structure in POSCAR format:
```
Y5Al
1.0
0.000 4.430 4.430
4.430 0.000 4.430
4.430 4.430 0.000
Y Al
5 1
Cartesian
0.000 0.000 0.000
3.320 3.320 3.320
5.539 5.539 3.320
5.539 3.320 5.539
3.320 5.539 5.539
6.644 6.644 6.644
```

Computed properties:
* total magnetic moment: 0.003 μB/cell
* formation energy: 0.290 eV per atom
* calculated total energy: -6.077 eV/atom

Here is an optimized crystal structure of Y5Al4 from the Alexandria database. Energies are from PBEsol.

The structure in POSCAR format:
```
Y5Al4
1.0
8.921 0.000 0.000
-4.460 7.726 0.000
0.000 0.000 6.348
Y Al
10 8
Cartesian
-1.284 2.223 1.587
-3.177 5.503 4.761
2.567 0.000 1.587
1.284 2.223 4.761
0.000 5.151 0.000
0.000 5.151 3.174
4.460 2.575 0.000
4.460 2.575 3.174
6.354 0.000 4.761
3.177 5.503 1.587
0.000 0.000 0.000
0.000 0.000 3.174
-1.640 2.841 4.761
-2.820 4.885 1.587
3.280 0.000 4.761
1.640 2.841 1.587
5.641 0.000 1.587
2.820 4.885 4.761
```

Computed properties:
* total magnetic moment: 0.003 μB/cell
* formation energy: -0.348 eV per atom
* calculated total energy: -5.956 eV/atom

Here is an optimized crystal structure of Y5Al from the Alexandria database. Energies are from PBEsol.

The structure in POSCAR format:
```
Y5Al
1.0
2.371 -7.378 0.000
2.371 7.378 0.000
0.000 0.000 4.758
Y Al
5 1
Cartesian
0.000 0.000 0.000
2.371 5.036 2.379
2.371 2.427 0.000
2.371 -2.427 0.000
2.371 -5.036 2.379
2.371 0.000 2.379
```

Computed properties:
* total magnetic moment: 0.002 μB/cell
* formation energy: -0.103 eV per atom
* calculated total energy: -6.470 eV/atom

Here is an optimized crystal structure of Y8Al from the Alexandria database. Energies are from PBEsol.

The structure in POSCAR format:
```
Y8Al
1.0
-5.211 5.211 2.381
5.211 -5.211 2.381
5.211 5.211 -2.381
Y Al
8 1
Cartesian
3.460 0.000 0.000
6.963 0.000 0.000
0.000 3.460 0.000
3.560 3.560 0.000
1.651 -1.651 2.381
-1.651 1.651 2.381
1.651 1.651 2.381
0.000 6.963 0.000
0.000 0.000 0.000
```

Computed properties:
* total magnetic moment: 0.000 μB/cell
* formation energy: -0.034 eV per atom
* calculated total energy: -6.553 eV/atom

Here is an optimized crystal structure of Y3Al from the Alexandria database. Energies are from PBEsol.

The structure in POSCAR format:
```
Y3Al
1.0
6.762 0.000 0.000
-3.381 5.856 0.000
0.000 0.000 5.243
Y Al
6 2
Cartesian
0.000 2.050 1.311
-1.606 4.832 1.311
1.775 1.025 3.932
1.606 4.832 1.311
4.987 1.025 3.932
3.381 3.807 3.932
0.000 3.904 3.932
3.381 1.952 1.311
```

Computed properties:
* total magnetic moment: 0.000 μB/cell
* formation energy: -0.217 eV per atom
* calculated total energy: -6.357 eV/atom

Here is an optimized crystal structure of Y3Al from the Alexandria database. Energies are from PBEsol.

The structure in POSCAR format:
```
Y3Al
1.0
4.707 0.000 0.000
0.000 4.707 0.000
0.000 0.000 4.707
Y Al
3 1
Cartesian
0.000 0.000 2.353
0.000 2.353 0.000
2.353 0.000 0.000
2.353 2.353 2.353
```

Computed properties:
* total magnetic moment: 0.001 μB/cell
* formation energy: -0.205 eV per atom
* calculated total energy: -6.344 eV/atom

Here is an optimized crystal structure of Y5Al3 from the Alexandria database. Energies are from PBEsol.

The structure in POSCAR format:
```
Y5Al3
1.0
8.793 0.000 0.000
-4.396 7.615 0.000
0.000 0.000 6.262
Y Al
10 6
Cartesian
-1.051 1.820 1.565
-3.346 5.795 4.696
2.102 0.000 1.565
1.051 1.820 4.696
0.000 5.076 0.000
0.000 5.076 3.131
4.396 2.538 0.000
4.396 2.538 3.131
6.691 0.000 4.696
3.346 5.795 1.565
-1.766 3.059 4.696
-2.630 4.556 1.565
3.532 0.000 4.696
1.766 3.059 1.565
5.261 0.000 1.565
2.630 4.556 4.696
```

Computed properties:
* total magnetic moment: 0.005 μB/cell
* formation energy: -0.284 eV per atom
* calculated total energy: -6.083 eV/atom

Here is an optimized crystal structure of Y3Al from the Alexandria database. Energies are from PBEsol.

The structure in POSCAR format:
```
Y3Al
1.0
-1.855 2.595 5.604
1.855 -2.595 5.604
1.855 2.595 -5.604
Y Al
3 1
Cartesian
0.000 0.000 0.000
1.855 0.000 3.183
0.000 2.595 2.421
0.000 0.000 5.604
```

Computed properties:
* total magnetic moment: 0.000 μB/cell
* formation energy: -0.212 eV per atom
* calculated total energy: -6.352 eV/atom

Here is an optimized crystal structure of Y3Al2 from the Alexandria database. Energies are from PBEsol.

The structure in POSCAR format:
```
Y3Al2
1.0
8.157 0.000 0.000
0.000 8.157 0.000
0.000 0.000 7.529
Y Al
12 8
Cartesian
0.000 4.079 1.882
0.000 4.079 5.647
1.229 1.229 0.000
1.638 1.638 3.764
2.441 5.717 0.000
2.850 5.308 3.764
4.079 0.000 1.882
4.079 0.000 5.647
5.308 2.850 3.764
5.717 2.441 0.000
6.519 6.519 3.764
6.929 6.929 0.000
0.975 7.182 2.288
0.975 7.182 5.241
3.103 3.103 1.476
3.103 3.103 6.052
5.054 5.054 1.476
5.054 5.054 6.052
7.182 0.975 2.288
7.182 0.975 5.241
```

Computed properties:
* total magnetic moment: 0.002 μB/cell
* formation energy: -0.353 eV per atom
* calculated total energy: -6.082 eV/atom

Here is an optimized crystal structure of Y5Al3 from the Alexandria database. Energies are from PBEsol.

The structure in POSCAR format:
```
Y5Al3
1.0
-5.962 5.962 2.841
5.962 -5.962 2.841
5.962 5.962 -2.841
Y Al
10 6
Cartesian
9.314 1.000 0.000
1.000 2.611 0.000
5.962 0.000 1.420
6.963 3.351 0.000
3.351 4.962 0.000
2.611 1.000 2.841
-1.000 2.611 2.841
0.000 5.962 1.420
4.962 3.351 2.841
-3.351 4.962 2.841
4.041 1.921 0.000
0.000 0.000 1.420
4.041 -1.921 2.841
1.921 7.883 0.000
0.000 0.000 4.261
1.921 4.041 2.841
```

Computed properties:
* total magnetic moment: 0.003 μB/cell
* formation energy: -0.331 eV per atom
* calculated total energy: -6.130 eV/atom